Record 1
The following is a DFT calculation (PBE) of a relaxed Ho2MgTl3 crystal.

Lattice parameters (Å, degrees): 3.635 3.635 11.772 90.00 90.00 90.00
Space group P4/mmm (No. 123)
Inequivalent atoms, fractional coordinates:
Ho (0.000, 0.000, 0.177) x2
Mg (0.000, 0.000, 0.500) x1
Tl (0.500, 0.500, 0.000) x1
Tl (0.500, 0.500, 0.349) x2

total magnetic moment	0.13	μB/f.u.
final energy	-3.20	eV/atom
mass density	10.33	g/cm³
crystal system	tetragonal
density of states at the Fermi level	4.65	states/eV per cell
ΔE_f	-225	meV per atom
energy relative to the lowest polymorph listed for this composition	0	meV per atom


Record 2
The following is a DFT calculation (PBE) of a relaxed MoPRu crystal.

Lattice parameters (Å, degrees): 4.725 3.191 6.137 90.00 109.03 90.00
Space group Pm (No. 6)
Inequivalent atoms, fractional coordinates:
Mo (0.000, 0.000, 0.000) x1
Mo (0.390, 0.500, 0.355) x1
P (0.579, 0.000, 0.134) x1
P (0.822, 0.500, 0.694) x1
Ru (0.423, 0.500, 0.846) x1
Ru (0.965, 0.000, 0.477) x1

total magnetic moment	0.00	μB/f.u.
final energy	-8.85	eV/atom
mass density	8.66	g/cm³
crystal system	monoclinic
density of states at the Fermi level	4.76	states/eV per cell
ΔE_f	-349	meV per atom
energy relative to the lowest polymorph listed for this composition	182	meV per atom


Record 3
The following is a DFT calculation (PBE) of a relaxed AcMgHg4 crystal.

Lattice parameters (Å, degrees): 4.705 4.705 8.314 90.00 90.00 90.00
Space group P4/mmm (No. 123)
Inequivalent atoms, fractional coordinates:
Ac (0.000, 0.000, 0.000) x1
Mg (0.500, 0.500, 0.500) x1
Hg (0.000, 0.500, 0.293) x4

total magnetic moment	0.00	μB/f.u.
final energy	-1.30	eV/atom
mass density	9.51	g/cm³
crystal system	tetragonal
density of states at the Fermi level	3.65	states/eV per cell
ΔE_f	-149	meV per atom
energy relative to the lowest polymorph listed for this composition	17	meV per atom


Record 4
The following is a DFT calculation (PBE) of a relaxed Ni2MoOs crystal.

Lattice parameters (Å, degrees): 3.105 3.105 5.435 90.00 90.00 90.00
Space group P4mm (No. 99)
Inequivalent atoms, fractional coordinates:
Ni (0.000, 0.000, 0.000) x1
Ni (0.500, 0.500, 0.203) x1
Mo (0.500, 0.500, 0.739) x1
Os (0.000, 0.000, 0.471) x1

total magnetic moment	0.00	μB/f.u.
final energy	-8.31	eV/atom
mass density	12.79	g/cm³
crystal system	tetragonal
density of states at the Fermi level	3.78	states/eV per cell
ΔE_f	93	meV per atom
energy relative to the lowest polymorph listed for this composition	107	meV per atom


Record 5
The following is a DFT calculation (PBE) of a relaxed MgZn11Cu crystal.

Lattice parameters (Å, degrees): 5.141 12.816 6.576 90.00 111.41 90.00
Space group C2/m (No. 12)
Inequivalent atoms, fractional coordinates:
Mg (0.000, 0.000, 0.000) x2
Zn (0.000, 0.500, 0.500) x2
Zn (0.115, 0.393, 0.215) x8
Zn (0.165, 0.172, 0.356) x8
Zn (0.250, 0.250, 0.000) x4
Cu (0.000, 0.000, 0.500) x2

total magnetic moment	0.00	μB/f.u.
final energy	-1.53	eV/atom
mass density	6.65	g/cm³
crystal system	monoclinic
density of states at the Fermi level	8.66	states/eV per cell
ΔE_f	-19	meV per atom


Record 6
The following is a DFT calculation (PBE) of a relaxed CaHS2 crystal.

Lattice parameters (Å, degrees): 6.279 6.279 6.609 90.00 90.00 90.00
Space group I-42d (No. 122)
Inequivalent atoms, fractional coordinates:
Ca (0.000, 0.000, 0.000) x4
H (0.000, 0.000, 0.500) x4
S (0.141, 0.750, 0.625) x8

total magnetic moment	0.00	μB/f.u.
final energy	-3.88	eV/atom
mass density	2.68	g/cm³
crystal system	tetragonal
density of states at the Fermi level	4.91	states/eV per cell
energy relative to the lowest polymorph listed for this composition	278	meV per atom


Record 7
The following is a DFT calculation (PBE) of a relaxed LiCo3Ru crystal.

Lattice parameters (Å, degrees): 3.884 3.884 3.884 90.00 90.00 90.00
Space group Pm-3m (No. 221)
Inequivalent atoms, fractional coordinates:
Li (0.000, 0.000, 0.000) x1
Co (0.000, 0.000, 0.500) x3
Ru (0.500, 0.500, 0.500) x1

total magnetic moment	5.82	μB/f.u.
final energy	-5.57	eV/atom
mass density	8.07	g/cm³
crystal system	cubic
density of states at the Fermi level	4.30	states/eV per cell
ΔE_f	932	meV per atom
energy relative to the lowest polymorph listed for this composition	0	meV per atom


Record 8
The following is a DFT calculation (PBE) of a relaxed InPd6Pt3 crystal.

Lattice parameters (Å, degrees): 8.859 4.011 8.923 90.00 90.87 90.00
Space group P2_1/m (No. 11)
Inequivalent atoms, fractional coordinates:
In (0.061, 0.250, 0.383) x2
Pd (0.049, 0.750, 0.903) x2
Pd (0.144, 0.250, 0.695) x2
Pd (0.158, 0.750, 0.193) x2
Pd (0.247, 0.750, 0.501) x2
Pd (0.357, 0.250, 0.299) x2
Pd (0.452, 0.750, 0.099) x2
Pt (0.252, 0.250, 0.995) x2
Pt (0.347, 0.750, 0.800) x2
Pt (0.449, 0.250, 0.601) x2

total magnetic moment	0.00	μB/f.u.
final energy	-5.37	eV/atom
mass density	14.02	g/cm³
crystal system	monoclinic
density of states at the Fermi level	32.76	states/eV per cell
ΔE_f	-164	meV per atom
energy relative to the lowest polymorph listed for this composition	0	meV per atom